(1)
DFT (PBE) results for a relaxed structure of NdCoTcP2.

Properties
- DOS(E_F): 1.9 states/eV per cell
- Mass density: 7.367 g/cm³
- Calculated volume: 81.9 Å³/cell
- Symmetry: I-4m2
- M_tot: 0.0 μB per formula unit
- VASP energy: -37.7 eV/cell
- ΔE_f: -0.9354 eV/atom

a = 3.9460 Å, b = 3.9460 Å, c = 5.9514 Å
α = 109.36°, β = 109.36°, γ = 90.00°
Closest atoms and distances in Å follow each position.
Fractional coordinates of all 5 atoms:
Nd  0.0000  0.0000  0.0000  8 P 3.14, 4 Tc 3.29, 4 Co 3.29
Co  0.2500  0.7500  0.5000  4 P 2.30
Tc  0.7500  0.2500  0.5000  4 P 2.30
P  0.6379  0.6379  0.2757  2 Co 2.30, 2 Tc 2.30
P  0.3621  0.3621  0.7243  2 Co 2.30, 2 Tc 2.30

---

(2)
DFT (PBE) results for a relaxed structure of Tm5Zn2Co2.

Properties
- DOS(E_F): 13.0 states/eV per cell
- Mass density: 9.251 g/cm³
- Calculated volume: 392.5 Å³/cell
- Symmetry: Cmce
- M_tot: 0.0 μB per formula unit
- VASP energy: -82.8 eV/cell
- ΔE_f: -0.2548 eV/atom

a = 7.0562 Å, b = 7.1900 Å, c = 8.5031 Å
α = 90.00°, β = 65.49°, γ = 90.00°
Closest atoms and distances in Å follow each position.
Fractional coordinates of all 18 atoms:
Tm  0.0000  0.0000  0.0000  4 Co 2.88
Tm  0.5000  0.5000  0.0000  4 Co 2.88
Tm  0.4426  0.1830  0.7457  3 Co 2.85-2.95, 3 Zn 2.96-3.00
Tm  0.8117  0.8170  0.7457  3 Co 2.85-2.95, 3 Zn 2.96-3.00
Tm  0.3117  0.6830  0.7457  3 Co 2.85-2.95, 3 Zn 2.96-3.00
Tm  0.9426  0.3170  0.7457  3 Co 2.85-2.95, 3 Zn 2.96-3.00
Tm  0.5574  0.8170  0.2543  3 Co 2.85-2.95, 3 Zn 2.96-3.00
Tm  0.1883  0.1830  0.2543  3 Co 2.85-2.95, 3 Zn 2.96-3.00
Tm  0.6883  0.3170  0.2543  3 Co 2.85-2.95, 3 Zn 2.96-3.00
Tm  0.0574  0.6830  0.2543  3 Co 2.85-2.95, 3 Zn 2.96-3.00
Zn  0.2203  0.0000  0.5594  6 Tm 2.96-3.00
Zn  0.7203  0.5000  0.5594  6 Tm 2.96-3.00
Zn  0.7797  0.0000  0.4406  6 Tm 2.96-3.00
Zn  0.2797  0.5000  0.4406  6 Tm 2.96-3.00
Co  0.1092  0.3856  0.0000  1 Co 2.25
Co  0.8908  0.6144  0.0000  1 Co 2.25
Co  0.3908  0.8856  0.0000  1 Co 2.25
Co  0.6092  0.1144  0.0000  1 Co 2.25

---

(3)
DFT (PBE) results for a relaxed structure of Cs3Zn3Au2.

Properties
- DOS(E_F): 7.6 states/eV per cell
- Mass density: 5.734 g/cm³
- Calculated volume: 572.7 Å³/cell
- Symmetry: Cmcm
- M_tot: 0.0 μB per formula unit
- VASP energy: -28.0 eV/cell
- ΔE_f: -0.1333 eV/atom

a = 4.8361 Å, b = 7.3689 Å, c = 17.0132 Å
α = 90.00°, β = 90.00°, γ = 109.16°
Closest atoms and distances in Å follow each position.
Fractional coordinates of all 16 atoms:
Cs  0.9383  0.8767  0.3948  3 Zn 3.52-3.88, 2 Au 3.79
Cs  0.0617  0.1233  0.8948  3 Zn 3.52-3.88, 2 Au 3.79
Cs  0.9383  0.8767  0.1052  3 Zn 3.52-3.88, 2 Au 3.79
Cs  0.0617  0.1233  0.6052  3 Zn 3.52-3.88, 2 Au 3.79
Cs  0.6223  0.2446  0.2500  4 Zn 3.57-3.72, 4 Au 3.74
Cs  0.3777  0.7554  0.7500  4 Zn 3.57-3.72, 4 Au 3.74
Zn  0.6982  0.3963  0.4599  3 Au 2.69-2.70
Zn  0.3018  0.6037  0.9599  3 Au 2.69-2.70
Zn  0.6982  0.3963  0.0401  3 Au 2.69-2.70
Zn  0.3018  0.6037  0.5401  3 Au 2.69-2.70
Zn  0.3106  0.6212  0.2500  2 Au 2.70
Zn  0.6894  0.3788  0.7500  2 Au 2.70
Au  0.7712  0.5424  0.8936  4 Zn 2.69-2.70
Au  0.2288  0.4576  0.3936  4 Zn 2.69-2.70
Au  0.7712  0.5424  0.6064  4 Zn 2.69-2.70
Au  0.2288  0.4576  0.1064  4 Zn 2.69-2.70

---

(4)
DFT (PBE) results for a relaxed structure of Ce2Pu2Ge5.

Properties
- DOS(E_F): 43.0 states/eV per cell
- Mass density: 8.943 g/cm³
- Calculated volume: 420.2 Å³/cell
- Symmetry: Cmce
- M_tot: 8.7 μB per formula unit
- VASP energy: -135.7 eV/cell
- ΔE_f: -0.4680 eV/atom

a = 7.6683 Å, b = 7.6365 Å, c = 8.1281 Å
α = 118.02°, β = 90.00°, γ = 90.00°
Closest atoms and distances in Å follow each position.
Fractional coordinates of all 18 atoms:
Ce  0.0000  0.2095  0.4189  7 Ge 2.96-3.05
Ce  0.5000  0.7095  0.4189  7 Ge 2.96-3.05
Ce  0.0000  0.7905  0.5811  7 Ge 2.96-3.05
Ce  0.5000  0.2905  0.5811  7 Ge 2.96-3.05
Pu  0.6296  0.8712  0.0000  1 Pu 2.80, 8 Ge 2.84-3.02
Pu  0.3704  0.1288  0.0000  1 Pu 2.80, 8 Ge 2.84-3.02
Pu  0.1296  0.6288  0.0000  1 Pu 2.80, 8 Ge 2.84-3.02
Pu  0.8704  0.3712  0.0000  1 Pu 2.80, 8 Ge 2.84-3.02
Ge  0.0000  0.0000  0.0000  4 Pu 3.00-3.01, 2 Ce 3.01
Ge  0.5000  0.5000  0.0000  4 Pu 3.00-3.01, 2 Ce 3.01
Ge  0.8260  0.8071  0.2637  3 Pu 2.84-3.02, 3 Ce 2.96-3.05
Ge  0.1740  0.4566  0.2637  3 Pu 2.84-3.02, 3 Ce 2.96-3.05
Ge  0.3260  0.9566  0.2637  3 Pu 2.84-3.02, 3 Ce 2.96-3.05
Ge  0.6740  0.3071  0.2637  3 Pu 2.84-3.02, 3 Ce 2.96-3.05
Ge  0.1740  0.1929  0.7363  3 Pu 2.84-3.02, 3 Ce 2.96-3.05
Ge  0.8260  0.5434  0.7363  3 Pu 2.84-3.02, 3 Ce 2.96-3.05
Ge  0.6740  0.0434  0.7363  3 Pu 2.84-3.02, 3 Ce 2.96-3.05
Ge  0.3260  0.6929  0.7363  3 Pu 2.84-3.02, 3 Ce 2.96-3.05

---

> Look up the M_tot of the fourth one.

8.7 μB per formula unit

---

> Which value of calculated volume does entry 4 give?

420.2 Å³/cell

---

> Which value of calculated volume does entry 1 give?

81.9 Å³/cell